A geometry-optimized BaSr7Fe6Co2O24 structure. Source: the Alexandria database, functional PBE+U.

Cell lengths 7.8249, 7.8249, 7.8676 Å; angles 90.00, 90.00, 89.97 degrees
Fractional coordinates of all 40 atoms:
1 Ba 0.2522 0.7478 0.5000
2 Sr 0.2530 0.2521 0.5000
3 Sr 0.7496 0.2504 0.5000
4 Sr 0.7479 0.7470 0.5000
5 Sr 0.2519 0.2530 0.0000
6 Sr 0.7480 0.2520 0.0000
7 Sr 0.2513 0.7487 0.0000
8 Sr 0.7470 0.7481 0.0000
9 Fe 0.9990 0.0010 0.7510
10 Fe 0.5008 0.0016 0.7510
11 Fe 0.9984 0.4992 0.7510
12 Fe 0.9990 0.0010 0.2490
13 Fe 0.5008 0.0016 0.2490
14 Fe 0.9984 0.4992 0.2490
15 Co 0.5009 0.4991 0.7516
16 Co 0.5009 0.4991 0.2484
17 O 0.9976 0.0024 0.5000
18 O 0.5019 0.0086 0.5000
19 O 0.9914 0.4981 0.5000
20 O 0.5130 0.4870 0.5000
21 O 0.9967 0.0033 0.0000
22 O 0.5029 0.9963 0.0000
23 O 0.0037 0.4971 0.0000
24 O 0.4910 0.5090 0.0000
25 O 0.9985 0.2516 0.7493
26 O 0.5005 0.2581 0.7576
27 O 0.9964 0.7485 0.7555
28 O 0.5056 0.7415 0.7487
29 O 0.9985 0.2516 0.2507
30 O 0.5005 0.2581 0.2424
31 O 0.9964 0.7485 0.2445
32 O 0.5056 0.7415 0.2513
33 O 0.2515 0.0036 0.7555
34 O 0.7484 0.0015 0.7493
35 O 0.2585 0.4944 0.7487
36 O 0.7419 0.4995 0.7576
37 O 0.2515 0.0036 0.2445
38 O 0.7484 0.0015 0.2507
39 O 0.2585 0.4944 0.2513
40 O 0.7419 0.4995 0.2424

Its space group is No. 38. For the density of states at the Fermi level, the calculation gives 0.44 states/eV per atom. The value obtained for the volume is 12.04 A^3/atom. The value obtained for the uncorrected energy is -6.246 eV per atom.